w) Compound: TcAs2SeN
Source: Alexandria via LeMat-Bulk
Functional: PBE-GGA
Structure: relaxed

Computed properties:
Total magnetic moment   0.3 μB per cell

Unit cell a=4.1780 b=4.1780 c=4.3720 alpha=90.00 beta=90.00 gamma=90.00
Last column: nearest neighbours and their distance in Å.
Fractional coordinates of all 5 atoms:
As 0.0000 0.5000 0.0000  2 N 2.09
As 0.5000 0.0000 0.0000  2 N 2.09
Tc 0.5000 0.5000 0.5000  4 Se 2.95, 8 As 3.02
Se 0.0000 0.0000 0.5000  2 N 2.19
N 0.0000 0.0000 0.0000  4 As 2.09, 2 Se 2.19

---

x) Compound: TcAs2SeN
Source: Alexandria via LeMat-Bulk
Functional: PBE-GGA
Structure: relaxed

Computed properties:
Total magnetic moment   0.3 μB per cell

Unit cell a=4.6646 b=3.8661 c=4.6646 alpha=90.00 beta=90.00 gamma=90.00
Last column: nearest neighbours and their distance in Å.
Fractional coordinates of all 5 atoms:
As 0.0000 0.0000 0.5000  2 N 2.33
As 0.5000 0.0000 0.0000  2 N 2.33
Tc 0.0000 0.5000 0.0000  2 N 1.93
Se 0.5000 0.5000 0.5000  8 As 3.03, 4 Tc 3.30
N 0.0000 0.0000 0.0000  2 Tc 1.93

---

y) Compound: TcAs2SeN
Source: Alexandria via LeMat-Bulk
Functional: PBE-GGA
Structure: relaxed

Computed properties:
Total magnetic moment   0.0 μB per cell

Unit cell a=4.7892 b=4.7892 c=4.6688 alpha=90.00 beta=90.00 gamma=90.00
Last column: nearest neighbours and their distance in Å.
Fractional coordinates of all 5 atoms:
As 0.0000 0.5000 0.0000  2 Tc 2.39
As 0.5000 0.0000 0.0000  2 Tc 2.39
Tc 0.0000 0.0000 0.0000  2 Se 2.33, 4 As 2.39
Se 0.0000 0.0000 0.5000  2 Tc 2.33
N 0.5000 0.5000 0.5000  8 As 3.34, 4 Se 3.39

---

Which one sits at the bottom of the stability order? y) does.

---

w) Compound: TiAs2SeN
Source: Alexandria via LeMat-Bulk
Functional: PBE-GGA
Structure: relaxed

Computed properties:
Total magnetic moment   2.4 μB per cell

Unit cell a=4.9044 b=4.9044 c=4.8850 alpha=90.00 beta=90.00 gamma=90.00
Last column: nearest neighbours and their distance in Å.
Fractional coordinates of all 5 atoms:
As 0.0000 0.5000 0.0000  2 Ti 2.45
As 0.5000 0.0000 0.0000  2 Ti 2.45
N 0.5000 0.5000 0.5000  8 As 3.46, 4 Se 3.47
Se 0.0000 0.0000 0.5000  2 Ti 2.44
Ti 0.0000 0.0000 0.0000  2 Se 2.44, 4 As 2.45

---

x) Compound: TiAs2SeN
Source: Alexandria via LeMat-Bulk
Functional: PBE-GGA
Structure: relaxed

Computed properties:
Total magnetic moment   0.0 μB per cell

Unit cell a=4.2696 b=4.2696 c=4.4255 alpha=90.00 beta=90.00 gamma=90.00
Last column: nearest neighbours and their distance in Å.
Fractional coordinates of all 5 atoms:
As 0.0000 0.5000 0.0000  2 N 2.13
As 0.5000 0.0000 0.0000  2 N 2.13
N 0.0000 0.0000 0.0000  4 As 2.13, 2 Se 2.21
Se 0.0000 0.0000 0.5000  2 N 2.21
Ti 0.5000 0.5000 0.5000  4 Se 3.02, 8 As 3.07

---

Which one sits at the bottom of the stability order? w) does.

---

w) Compound: TiAsSe2N
Source: Alexandria via LeMat-Bulk
Functional: PBE-GGA
Structure: relaxed

Computed properties:
Total magnetic moment   0.2 μB per cell

Unit cell a=5.1158 b=5.1158 c=3.7020 alpha=90.00 beta=90.00 gamma=90.00
Last column: nearest neighbours and their distance in Å.
Fractional coordinates of all 5 atoms:
As 0.5000 0.5000 0.5000  8 Se 3.16
N 0.0000 0.0000 0.5000  2 Ti 1.85
Se 0.0000 0.5000 0.0000  2 Ti 2.56
Se 0.5000 0.0000 0.0000  2 Ti 2.56
Ti 0.0000 0.0000 0.0000  2 N 1.85

---

x) Compound: TiAsSe2N
Source: Alexandria via LeMat-Bulk
Functional: PBE-GGA
Structure: relaxed

Computed properties:
Total magnetic moment   2.0 μB per cell

Unit cell a=4.8960 b=4.8960 c=5.0044 alpha=90.00 beta=90.00 gamma=90.00
Last column: nearest neighbours and their distance in Å.
Fractional coordinates of all 5 atoms:
As 0.0000 0.0000 0.5000  2 Ti 2.50
N 0.5000 0.5000 0.5000  4 As 3.46, 8 Se 3.50
Se 0.0000 0.5000 0.0000  2 Ti 2.45
Se 0.5000 0.0000 0.0000  2 Ti 2.45
Ti 0.0000 0.0000 0.0000  4 Se 2.45, 2 As 2.50

---

Which one sits at the bottom of the stability order? x) does.

---

w) Compound: TiAsSe2N
Source: Alexandria via LeMat-Bulk
Functional: PBE-GGA
Structure: relaxed

Computed properties:
Total magnetic moment   0.0 μB per cell

Unit cell a=4.4076 b=4.4076 c=4.2406 alpha=90.00 beta=90.00 gamma=90.00
Last column: nearest neighbours and their distance in Å.
Fractional coordinates of all 5 atoms:
As 0.0000 0.0000 0.5000  2 N 2.12
N 0.0000 0.0000 0.0000  2 As 2.12, 4 Se 2.20
Se 0.0000 0.5000 0.0000  2 N 2.20
Se 0.5000 0.0000 0.0000  2 N 2.20
Ti 0.5000 0.5000 0.5000  8 Se 3.06, 4 As 3.12

---

x) Compound: TiAsSe2N
Source: Alexandria via LeMat-Bulk
Functional: PBE-GGA
Structure: relaxed

Computed properties:
Total magnetic moment   0.0 μB per cell

Unit cell a=5.0791 b=5.0791 c=3.6201 alpha=90.00 beta=90.00 gamma=90.00
Last column: nearest neighbours and their distance in Å.
Fractional coordinates of all 5 atoms:
As 0.0000 0.0000 0.0000  2 N 1.81
N 0.0000 0.0000 0.5000  2 As 1.81
Se 0.0000 0.5000 0.0000  2 As 2.54
Se 0.5000 0.0000 0.0000  2 As 2.54
Ti 0.5000 0.5000 0.5000  8 Se 3.12

---

Which one sits at the bottom of the stability order? x) does.

---

w) Compound: TlAs2SeN
Source: Alexandria via LeMat-Bulk
Functional: PBE-GGA
Structure: relaxed

Computed properties:
Total magnetic moment   0.0 μB per cell

Unit cell a=4.4816 b=4.7723 c=4.4816 alpha=90.00 beta=90.00 gamma=90.00
Last column: nearest neighbours and their distance in Å.
Fractional coordinates of all 5 atoms:
Tl 0.5000 0.5000 0.5000  4 Se 3.17, 8 As 3.27
As 0.0000 0.0000 0.5000  2 N 2.24
As 0.5000 0.0000 0.0000  2 N 2.24
Se 0.0000 0.5000 0.0000  2 N 2.39
N 0.0000 0.0000 0.0000  4 As 2.24, 2 Se 2.39

---

x) Compound: TlAs2SeN
Source: Alexandria via LeMat-Bulk
Functional: PBE-GGA
Structure: relaxed

Computed properties:
Total magnetic moment   0.8 μB per cell

Unit cell a=5.3549 b=5.3549 c=5.2817 alpha=90.00 beta=90.00 gamma=90.00
Last column: nearest neighbours and their distance in Å.
Fractional coordinates of all 5 atoms:
Tl 0.0000 0.0000 0.0000  2 Se 2.64, 4 As 2.68
As 0.0000 0.5000 0.0000  2 Tl 2.68
As 0.5000 0.0000 0.0000  2 Tl 2.68
Se 0.0000 0.0000 0.5000  2 Tl 2.64
N 0.5000 0.5000 0.5000  8 As 3.76, 4 Se 3.79

---

Which one sits at the bottom of the stability order? x) does.

---

w) Compound: TlAsSeN2
Source: Alexandria via LeMat-Bulk
Functional: PBE-GGA
Structure: relaxed

Computed properties:
Total magnetic moment   0.6 μB per cell

Unit cell a=3.8835 b=3.8835 c=5.8258 alpha=90.00 beta=90.00 gamma=90.00
Last column: nearest neighbours and their distance in Å.
Fractional coordinates of all 5 atoms:
Tl 0.5000 0.5000 0.5000  4 Se 2.75
As 0.0000 0.0000 0.0000  4 N 1.94
Se 0.0000 0.0000 0.5000  4 Tl 2.75, 2 As 2.91
N 0.0000 0.5000 0.0000  2 As 1.94
N 0.5000 0.0000 0.0000  2 As 1.94

---

x) Compound: TlAsSeN2
Source: Alexandria via LeMat-Bulk
Functional: PBE-GGA
Structure: relaxed

Computed properties:
Total magnetic moment   2.3 μB per cell

Unit cell a=4.3069 b=4.3069 c=5.9373 alpha=90.00 beta=90.00 gamma=90.00
Last column: nearest neighbours and their distance in Å.
Fractional coordinates of all 5 atoms:
Tl 0.0000 0.0000 0.0000  4 N 2.15
As 0.5000 0.5000 0.5000  4 Se 3.05
Se 0.0000 0.0000 0.5000  2 Tl 2.97, 4 As 3.05
N 0.0000 0.5000 0.0000  2 Tl 2.15
N 0.5000 0.0000 0.0000  2 Tl 2.15

---

Which one sits at the bottom of the stability order? x) does.

---

w) Compound: VAs2SeN
Source: Alexandria via LeMat-Bulk
Functional: PBE-GGA
Structure: relaxed

Computed properties:
Total magnetic moment   2.1 μB per cell

Unit cell a=4.7521 b=4.7521 c=4.7246 alpha=90.00 beta=90.00 gamma=90.00
Last column: nearest neighbours and their distance in Å.
Fractional coordinates of all 5 atoms:
As 0.0000 0.5000 0.0000  2 V 2.38
As 0.5000 0.0000 0.0000  2 V 2.38
N 0.5000 0.5000 0.5000  8 As 3.35, 4 Se 3.36
Se 0.0000 0.0000 0.5000  2 V 2.36
V 0.0000 0.0000 0.0000  2 Se 2.36, 4 As 2.38

---

x) Compound: VAs2SeN
Source: Alexandria via LeMat-Bulk
Functional: PBE-GGA
Structure: relaxed

Computed properties:
Total magnetic moment   0.0 μB per cell

Unit cell a=4.2141 b=4.2141 c=4.4126 alpha=90.00 beta=90.00 gamma=90.00
Last column: nearest neighbours and their distance in Å.
Fractional coordinates of all 5 atoms:
As 0.0000 0.5000 0.0000  2 N 2.11
As 0.5000 0.0000 0.0000  2 N 2.11
N 0.0000 0.0000 0.0000  4 As 2.11, 2 Se 2.21
Se 0.0000 0.0000 0.5000  2 N 2.21
V 0.5000 0.5000 0.5000  4 Se 2.98, 8 As 3.05

---

Which one sits at the bottom of the stability order? w) does.

---

w) Compound: YAsSe2N
Source: Alexandria via LeMat-Bulk
Functional: PBE-GGA
Structure: relaxed

Computed properties:
Total magnetic moment   0.0 μB per cell

Unit cell a=5.1513 b=5.1513 c=3.7838 alpha=90.00 beta=90.00 gamma=90.00
Last column: nearest neighbours and their distance in Å.
Fractional coordinates of all 5 atoms:
Y 0.5000 0.5000 0.5000  8 Se 3.20
As 0.0000 0.0000 0.0000  2 N 1.89
Se 0.0000 0.5000 0.0000  2 As 2.58
Se 0.5000 0.0000 0.0000  2 As 2.58
N 0.0000 0.0000 0.5000  2 As 1.89

---

x) Compound: YAsSe2N
Source: Alexandria via LeMat-Bulk
Functional: PBE-GGA
Structure: relaxed

Computed properties:
Total magnetic moment   0.0 μB per cell

Unit cell a=4.6214 b=4.6214 c=4.3012 alpha=90.00 beta=90.00 gamma=90.00
Last column: nearest neighbours and their distance in Å.
Fractional coordinates of all 5 atoms:
Y 0.5000 0.5000 0.5000  8 Se 3.16, 4 As 3.27
As 0.0000 0.0000 0.5000  2 N 2.15
Se 0.0000 0.5000 0.0000  2 N 2.31
Se 0.5000 0.0000 0.0000  2 N 2.31
N 0.0000 0.0000 0.0000  2 As 2.15, 4 Se 2.31

---

y) Compound: YAsSe2N
Source: Alexandria via LeMat-Bulk
Functional: PBE-GGA
Structure: relaxed

Computed properties:
Total magnetic moment   0.0 μB per cell

Unit cell a=5.5393 b=5.5393 c=4.0853 alpha=90.00 beta=90.00 gamma=90.00
Last column: nearest neighbours and their distance in Å.
Fractional coordinates of all 5 atoms:
Y 0.0000 0.0000 0.0000  2 N 2.04
As 0.5000 0.5000 0.5000  8 Se 3.44
Se 0.0000 0.5000 0.0000  2 Y 2.77
Se 0.5000 0.0000 0.0000  2 Y 2.77
N 0.0000 0.0000 0.5000  2 Y 2.04

---

z) Compound: YAsSe2N
Source: Alexandria via LeMat-Bulk
Functional: PBE-GGA
Structure: relaxed

Computed properties:
Total magnetic moment   2.1 μB per cell

Unit cell a=5.4697 b=5.4697 c=5.7388 alpha=90.00 beta=90.00 gamma=90.00
Last column: nearest neighbours and their distance in Å.
Fractional coordinates of all 5 atoms:
Y 0.0000 0.0000 0.0000  4 Se 2.73, 2 As 2.87
As 0.0000 0.0000 0.5000  2 Y 2.87
Se 0.0000 0.5000 0.0000  2 Y 2.73
Se 0.5000 0.0000 0.0000  2 Y 2.73
N 0.5000 0.5000 0.5000  4 As 3.87, 8 Se 3.96

---

Which one sits at the bottom of the stability order? z) does.